Ba2SrInMo: optimized geometry, GGA-PBE.

Cell and atoms, written as POSCAR:
```
Ba2SrInMo
1.0
-2.717 -4.714 2.344
-1.460 -1.710 -5.132
5.033 -3.100 -0.399
Ba Mo Sr In
2 1 1 1
direct
0.000 0.000 0.500 Ba
0.500 0.000 0.000 Ba
0.000 0.000 0.000 Mo
0.500 0.500 0.500 Sr
0.000 0.500 0.000 In
```

## Properties
energy of formation from the pure elements	0.499	eV per atom
magnetic moment	0.000	μB/atom



Tb2EuLu: optimized geometry, GGA-PBE.

Cell and atoms, written as POSCAR:
```
Tb2EuLu
1.0
3.583 0.000 0.000
0.000 3.583 0.000
0.000 0.000 10.276
Eu Tb Lu
1 2 1
direct
0.500 0.500 0.500 Eu
0.000 0.000 0.768 Tb
0.000 0.000 0.232 Tb
0.500 0.500 0.000 Lu
```

## Properties
energy of formation from the pure elements	0.058	eV per atom
energy relative to the lowest polymorph listed for this composition	0.00	eV per formula unit
magnetic moment	1.838	μB/atom



BeAuBr2: optimized geometry, GGA-PBE.

Cell and atoms, written as POSCAR:
```
BeAuBr2
1.0
-0.367 -2.379 -2.689
1.348 -0.590 3.295
-9.757 -2.503 3.544
Br Au Be
2 1 1
direct
0.000 0.000 0.602 Br
0.000 0.000 0.898 Br
0.500 0.500 0.250 Au
0.500 0.500 0.750 Be
```

## Properties
energy relative to the lowest polymorph listed for this composition	0.86	eV per formula unit
uncorrected formation energy	-0.059	eV/atom
magnetic moment	0.000	μB/atom



Tc3IrRh6: optimized geometry, GGA-PBE.

Cell and atoms, written as POSCAR:
```
Tc3IrRh6
1.0
-5.928 2.117 -2.516
-1.894 -2.259 6.104
2.919 5.898 1.628
Rh Tc Ir
12 6 2
direct
0.000 0.256 0.744 Rh
0.400 0.823 0.401 Rh
0.744 0.000 0.256 Rh
0.599 0.600 0.177 Rh
0.256 0.744 0.000 Rh
0.401 0.400 0.823 Rh
0.744 0.256 0.000 Rh
0.000 0.744 0.256 Rh
0.177 0.599 0.600 Rh
0.823 0.401 0.400 Rh
0.600 0.177 0.599 Rh
0.256 0.000 0.744 Rh
0.837 0.837 0.585 Tc
0.415 0.163 0.163 Tc
0.837 0.585 0.837 Tc
0.163 0.415 0.163 Tc
0.163 0.163 0.415 Tc
0.585 0.837 0.837 Tc
0.000 0.000 0.000 Ir
0.500 0.500 0.500 Ir
```

## Properties
energy of formation from the pure elements	0.089	eV per atom
magnetic moment	0.000	μB/atom



Pr2SmAu4: optimized geometry, GGA-PBE.

Cell and atoms, written as POSCAR:
```
Pr2SmAu4
1.0
-4.402 3.002 0.957
-2.950 -3.348 -3.065
2.113 -4.076 7.199
Au Sm Pr
4 1 2
direct
0.500 0.000 0.000 Au
0.000 0.500 0.000 Au
0.813 0.813 0.626 Au
0.187 0.187 0.374 Au
0.000 0.000 0.000 Sm
0.620 0.620 0.241 Pr
0.380 0.380 0.759 Pr
```

## Properties
energy of formation from the pure elements	-0.279	eV per atom
energy relative to the lowest polymorph listed for this composition	2.57	eV per formula unit
magnetic moment	0.000	μB/atom



CaMgCr2: optimized geometry, GGA-PBE.

Cell and atoms, written as POSCAR:
```
CaMgCr2
1.0
-1.334 -0.296 9.421
1.131 -2.102 9.215
1.468 0.939 9.358
Ca Cr Mg
1 2 1
direct
0.739 0.739 0.739 Ca
0.982 0.982 0.982 Cr
0.264 0.264 0.264 Cr
0.515 0.515 0.515 Mg
```

## Properties
energy of formation from the pure elements	0.622	eV per atom
magnetic moment	0.000	μB/atom



KMg2Mn: optimized geometry, GGA-PBE.

Cell and atoms, written as POSCAR:
```
KMg2Mn
1.0
-9.229 -2.335 -6.401
-6.998 -2.523 -8.733
-7.627 -5.101 -6.886
Mn Mg K
1 2 1
direct
0.511 0.511 0.511 Mn
0.990 0.990 0.990 Mg
0.244 0.244 0.244 Mg
0.755 0.755 0.755 K
```

## Properties
energy of formation from the pure elements	0.533	eV per atom
energy relative to the lowest polymorph listed for this composition	0.73	eV per formula unit
magnetic moment	0.890	μB/atom



AcTmGePt: optimized geometry, GGA-PBE.

Cell and atoms, written as POSCAR:
```
AcTmGePt
1.0
-4.042 0.302 -3.283
-2.229 -4.359 -1.800
-4.775 -1.345 1.611
Tm Ge Pt Ac
1 1 1 1
direct
0.500 0.500 0.500 Tm
0.250 0.250 0.250 Ge
0.750 0.750 0.750 Pt
0.000 0.000 0.000 Ac
```

## Properties
energy of formation from the pure elements	-0.796	eV per atom
energy relative to the lowest polymorph listed for this composition	0.19	eV per formula unit
magnetic moment	0.000	μB/atom



TbCeNiRu: optimized geometry, GGA-PBE.

Cell and atoms, written as POSCAR:
```
TbCeNiRu
1.0
-0.932 -1.721 3.259
3.781 -0.967 0.570
1.269 5.612 1.108
Tb Ni Ce Ru
1 1 1 1
direct
0.142 0.000 0.283 Tb
0.579 0.500 0.158 Ni
0.867 0.500 0.733 Ce
0.413 0.000 0.825 Ru
```

## Properties
energy of formation from the pure elements	-0.405	eV per atom
energy relative to the lowest polymorph listed for this composition	0.00	eV per formula unit
magnetic moment	0.000	μB/atom



CdPb2I2O2: optimized geometry, GGA-PBE.

Cell and atoms, written as POSCAR:
```
CdPb2I2O2
1.0
-2.934 -3.279 -0.334
2.157 -2.248 3.125
-5.234 7.081 5.589
Pb O I Cd
2 2 2 1
direct
0.583 0.583 0.165 Pb
0.417 0.417 0.835 Pb
0.000 0.500 0.000 O
0.500 0.000 0.000 O
0.163 0.163 0.325 I
0.837 0.837 0.675 I
0.000 0.000 0.000 Cd
```

## Properties
uncorrected formation energy	-0.789	eV/atom
magnetic moment	0.000	μB/atom



Mg2Ga2Tc3: optimized geometry, GGA-PBE.

Cell and atoms, written as POSCAR:
```
Mg2Ga2Tc3
1.0
2.842 0.000 -0.343
0.000 2.876 0.000
0.286 0.000 14.316
Mg Tc Ga
2 3 2
direct
0.298 0.500 0.597 Mg
0.702 0.500 0.403 Mg
0.000 0.000 0.000 Tc
0.562 0.500 0.125 Tc
0.438 0.500 0.875 Tc
0.126 0.000 0.252 Ga
0.874 0.000 0.748 Ga
```

## Properties
energy of formation from the pure elements	-0.001	eV per atom
magnetic moment	0.000	μB/atom



DyGa2Pd8: optimized geometry, GGA-PBE.

Cell and atoms, written as POSCAR:
```
DyGa2Pd8
1.0
4.636 -0.186 -0.279
-1.041 6.730 -0.199
-1.041 -2.775 6.134
Pd Ga Dy
8 2 1
direct
0.106 0.080 0.324 Pd
0.500 0.760 0.240 Pd
0.894 0.920 0.676 Pd
0.688 0.399 0.399 Pd
0.500 0.240 0.760 Pd
0.106 0.324 0.080 Pd
0.312 0.601 0.601 Pd
0.894 0.676 0.920 Pd
0.000 0.687 0.313 Ga
0.000 0.313 0.687 Ga
0.500 0.000 0.000 Dy
```

## Properties
energy of formation from the pure elements	-0.546	eV per atom
magnetic moment	0.000	μB/atom